Record 1
Density functional theory data (meta-GGA SCAN) for Fe2RuBr at its PBEsol-relaxed geometry.

Structure (CIF):
```
data_Fe2RuBr
_chemical_formula_sum 'Fe8 Ru4 Br4'
_cell_length_a 5.981
_cell_length_b 5.981
_cell_length_c 5.981
_cell_angle_alpha 90.00
_cell_angle_beta 90.00
_cell_angle_gamma 90.00
_symmetry_space_group_name_H-M 'F -4 3 m'
_symmetry_Int_Tables_number 216
_symmetry_space_group_name_Hall 'F -4 2 3'
loop_
_atom_site_label
_atom_site_type_symbol
_atom_site_fract_x
_atom_site_fract_y
_atom_site_fract_z
_atom_site_occupancy
Fe1 Fe 0.000 0.000 0.000 1
Fe2 Fe 0.250 0.250 0.250 1
Ru1 Ru 0.250 0.250 0.750 1
Br1 Br 0.000 0.000 0.500 1
```

Values from the calculation:
**Offset from the most stable computed form**: 14.6 meV/atom

***

Record 2
Density functional theory data (meta-GGA SCAN) for FeRu2Br at its PBEsol-relaxed geometry.

Structure (CIF):
```
data_FeRu2Br
_chemical_formula_sum 'Fe1 Ru2 Br1'
_cell_length_a 2.961
_cell_length_b 2.961
_cell_length_c 6.485
_cell_angle_alpha 90.00
_cell_angle_beta 90.00
_cell_angle_gamma 90.00
_symmetry_space_group_name_H-M 'P 4/m m m'
_symmetry_Int_Tables_number 123
_symmetry_space_group_name_Hall '-P 4 2'
loop_
_atom_site_label
_atom_site_type_symbol
_atom_site_fract_x
_atom_site_fract_y
_atom_site_fract_z
_atom_site_occupancy
Fe1 Fe 0.000 0.000 0.000 1
Ru1 Ru 0.500 0.500 0.214 1
Br1 Br 0.000 0.000 0.500 1
```

***

Record 3
Density functional theory data (meta-GGA SCAN) for FeRuBr at its PBEsol-relaxed geometry.

Structure (CIF):
```
data_FeRuBr
_chemical_formula_sum 'Fe4 Ru4 Br4'
_cell_length_a 5.730
_cell_length_b 5.730
_cell_length_c 5.730
_cell_angle_alpha 90.00
_cell_angle_beta 90.00
_cell_angle_gamma 90.00
_symmetry_space_group_name_H-M 'F -4 3 m'
_symmetry_Int_Tables_number 216
_symmetry_space_group_name_Hall 'F -4 2 3'
loop_
_atom_site_label
_atom_site_type_symbol
_atom_site_fract_x
_atom_site_fract_y
_atom_site_fract_z
_atom_site_occupancy
Fe1 Fe 0.000 0.000 0.000 1
Ru1 Ru 0.250 0.250 0.750 1
Br1 Br 0.250 0.250 0.250 1
```

Values from the calculation:
**Offset from the most stable computed form**: 608.0 meV/atom

***

Record 4
Density functional theory data (meta-GGA SCAN) for Fe2RuBr at its PBEsol-relaxed geometry.

Structure (CIF):
```
data_Fe2RuBr
_chemical_formula_sum 'Fe4 Ru2 Br2'
_cell_length_a 3.644
_cell_length_b 3.644
_cell_length_c 8.341
_cell_angle_alpha 90.00
_cell_angle_beta 90.00
_cell_angle_gamma 90.00
_symmetry_space_group_name_H-M 'I 4/m m m'
_symmetry_Int_Tables_number 139
_symmetry_space_group_name_Hall '-I 4 2'
loop_
_atom_site_label
_atom_site_type_symbol
_atom_site_fract_x
_atom_site_fract_y
_atom_site_fract_z
_atom_site_occupancy
Fe1 Fe 0.000 0.500 0.250 1
Ru1 Ru 0.000 0.000 0.000 1
Br1 Br 0.000 0.000 0.500 1
```

Values from the calculation:
**Offset from the most stable computed form**: 0.0 meV/atom

***

Record 5
Density functional theory data (meta-GGA SCAN) for FeRuBr at its PBEsol-relaxed geometry.

Structure (CIF):
```
data_FeRuBr
_chemical_formula_sum 'Fe1 Ru1 Br1'
_cell_length_a 3.1370
_cell_length_b 3.1370
_cell_length_c 5.6208
_cell_angle_alpha 90.00
_cell_angle_beta 90.00
_cell_angle_gamma 120.00
_symmetry_space_group_name_H-M 'P 3 m 1'
_symmetry_Int_Tables_number 156
loop_
_symmetry_equiv_pos_as_xyz
'x,y,z'
'-y,x-y,z'
'-x+y,-x,z'
'-y,-x,z'
'-x+y,y,z'
'x,x-y,z'
loop_
_atom_site_label
_atom_site_type_symbol
_atom_site_fract_x
_atom_site_fract_y
_atom_site_fract_z
_atom_site_occupancy
Fe1 Fe 0.0000 0.0000 0.0000 1
Ru1 Ru 0.3333 0.6667 0.7291 1
Br1 Br 0.6667 0.3333 0.3480 1
```

Values from the calculation:
**Offset from the most stable computed form**: 0.0 meV/atom

***

Record 6
Density functional theory data (meta-GGA SCAN) for FeSe2SBr at its PBEsol-relaxed geometry.

Structure (CIF):
```
data_FeSe2SBr
_chemical_formula_sum 'Fe1 Se2 S1 Br1'
_cell_length_a 4.837
_cell_length_b 4.837
_cell_length_c 4.787
_cell_angle_alpha 90.00
_cell_angle_beta 90.00
_cell_angle_gamma 90.00
_symmetry_space_group_name_H-M 'P 4/m m m'
_symmetry_Int_Tables_number 123
_symmetry_space_group_name_Hall '-P 4 2'
loop_
_atom_site_label
_atom_site_type_symbol
_atom_site_fract_x
_atom_site_fract_y
_atom_site_fract_z
_atom_site_occupancy
Fe1 Fe 0.000 0.000 0.000 1
Se1 Se 0.000 0.500 0.500 1
S1 S 0.500 0.500 0.500 1
Br1 Br 0.500 0.500 0.000 1
```

***

Number 1: final energy -21.766 eV per atom, E_form (uncorrected) 870 meV/atom. Number 2: final energy -26.212 eV per atom, E_form (uncorrected) 598 meV/atom. Number 3: final energy -23.047 eV per atom, E_form (uncorrected) 1092 meV/atom. Number 4: final energy -21.781 eV per atom, E_form (uncorrected) 855 meV/atom. Number 5: final energy -23.655 eV per atom, E_form (uncorrected) 484 meV/atom. Number 6: final energy -16.710 eV per atom, E_form (uncorrected) 765 meV/atom.